# 1
CsHg2Sb2 | PBE | optimized geometry

Lattice parameters (Å, degrees): 6.945 6.945 6.945 135.04 135.04 65.47
Element x y z (fractional)
Cs 0.000 0.000 0.000
Hg 0.250 0.750 0.500
Hg 0.750 0.250 0.500
Sb 0.375 0.375 0.000
Sb 0.625 0.625 0.000

E_tot = -2.1204 eV per atom

---

# 2
DyZr | PBE | optimized geometry

Lattice parameters (Å, degrees): 5.877 5.376 6.795 90.00 90.00 90.00
Element x y z (fractional)
Dy 0.089 0.250 0.126
Dy 0.411 0.750 0.626
Dy 0.589 0.250 0.374
Dy 0.911 0.750 0.874
Zr 0.070 0.250 0.623
Zr 0.430 0.750 0.123
Zr 0.570 0.250 0.877
Zr 0.930 0.750 0.377

Energy of formation from the pure elements = 0.17 eV per formula unit
E_tot = -6.4903 eV per atom

---

# 3
InGaHgTe2Se2 | PBE | optimized geometry

Lattice parameters (Å, degrees): 7.321 7.321 6.062 113.63 113.63 108.92
Element x y z (fractional)
In 0.000 0.000 0.000
Ga 0.765 0.235 0.500
Hg 0.259 0.741 0.500
Te 0.423 0.175 0.032
Te 0.825 0.577 0.968
Se 0.134 0.354 0.526
Se 0.646 0.866 0.474

E_tot = -3.1458 eV per atom

---

# 4
Pr3Mg3HgAu2 | PBE | optimized geometry

Lattice parameters (Å, degrees): 7.856 7.856 4.295 90.00 90.00 120.00
Element x y z (fractional)
Pr 0.000 0.418 0.000
Pr 0.418 0.000 0.000
Pr 0.582 0.582 0.000
Mg 0.000 0.751 0.500
Mg 0.249 0.249 0.500
Mg 0.751 0.000 0.500
Hg 0.000 0.000 0.000
Au 0.333 0.667 0.500
Au 0.667 0.333 0.500

E_tot = -3.4260 eV per atom

---

# 5
Nd3CdAgHg2Pd2 | PBE | optimized geometry

Lattice parameters (Å, degrees): 3.960 7.926 7.926 120.41 90.00 90.00
Element x y z (fractional)
Nd 0.000 0.000 0.000
Nd 0.000 0.185 0.599
Nd 0.000 0.599 0.185
Cd 0.500 0.333 0.333
Ag 0.000 0.591 0.591
Hg 0.500 0.594 0.860
Hg 0.500 0.860 0.594
Pd 0.500 0.263 0.935
Pd 0.500 0.935 0.263

Energy of formation from the pure elements = -5.45 eV per formula unit
E_tot = -3.8224 eV per atom

---

# 6
SrLaTh | PBE | optimized geometry

Lattice parameters (Å, degrees): 5.700 5.700 5.700 60.00 60.00 60.00
Element x y z (fractional)
Sr 0.000 0.000 0.000
La 0.250 0.250 0.250
Th 0.750 0.750 0.750

E_tot = -3.5861 eV per atom

---

Repeat the third record exactly.
InGaHgTe2Se2 | PBE | optimized geometry

Lattice parameters (Å, degrees): 7.321 7.321 6.062 113.63 113.63 108.92
Element x y z (fractional)
In 0.000 0.000 0.000
Ga 0.765 0.235 0.500
Hg 0.259 0.741 0.500
Te 0.423 0.175 0.032
Te 0.825 0.577 0.968
Se 0.134 0.354 0.526
Se 0.646 0.866 0.474

E_tot = -3.1458 eV per atom